Arrangement i

## CsBCl3 (PBE)

Data for a relaxed structure of CsBCl3.

Fermi-level density of states   1.065 states/eV/cell

```
5
Lattice="4.828 0.000 0.000 0.000 4.828 0.000 0.000 0.000 4.828" Properties=species:S:1:pos:R:3 pbc="T T T"
Cs 0.000 0.000 0.000
B 2.414 2.414 2.414
Cl 0.000 2.414 2.414
Cl 2.414 0.000 2.414
Cl 2.414 2.414 0.000
```

=====

Arrangement ii

## CsBCl3 (PBE)

Data for a relaxed structure of CsBCl3.

Fermi-level density of states   0.000 states/eV/cell

```
10
Lattice="-3.797 3.797 4.860 3.797 -3.797 4.860 3.797 3.797 -4.860" Properties=species:S:1:pos:R:3 pbc="T T T"
Cs 3.797 0.000 2.430
Cs 0.000 3.797 2.430
B 0.000 0.000 0.000
B 0.000 0.000 4.860
Cl 0.000 0.000 1.690
Cl 2.030 2.030 0.000
Cl 1.767 -1.767 4.860
Cl -1.767 1.767 4.860
Cl 1.767 1.767 4.860
Cl 0.000 0.000 8.030
```

=====

Arrangement iii

## CsBCl3 (PBE)

Data for a relaxed structure of CsBCl3.

Fermi-level density of states   0.000 states/eV/cell

```
20
Lattice="7.287 0.000 0.000 0.000 7.815 0.000 -7.272 0.000 10.585" Properties=species:S:1:pos:R:3 pbc="T T T"
Cs 0.006 0.180 2.623
Cs -3.630 3.728 7.915
Cs 3.645 4.088 2.670
Cs 0.010 7.635 7.963
B 0.004 4.631 4.827
B -3.632 7.092 10.120
B 3.648 0.723 0.466
B 0.012 3.184 5.759
Cl 0.000 4.273 2.955
Cl -1.530 5.703 5.191
Cl -5.166 6.020 10.484
Cl -3.636 7.450 8.248
Cl 2.120 1.807 0.110
Cl -1.516 2.101 5.403
Cl 1.531 5.715 5.182
Cl -2.105 6.008 10.475
Cl 3.652 0.365 2.337
Cl 5.181 1.796 0.102
Cl 1.545 2.112 5.395
Cl 0.016 3.542 7.630
```

=====

Relative energies, unit meV/atom: arrangement i 886; arrangement ii 735; arrangement iii 0

=====

Arrangement i

## CsBS2Cl (PBE)

Data for a relaxed structure of CsBS2Cl.

Fermi-level density of states   4.480 states/eV/cell

```
5
Lattice="4.278 0.000 0.000 0.000 4.278 0.000 0.000 0.000 7.019" Properties=species:S:1:pos:R:3 pbc="T T T"
Cs 0.000 0.000 0.000
B 2.139 2.139 3.509
S 0.000 2.139 3.509
S 2.139 0.000 3.509
Cl 2.139 2.139 0.000
```

=====

Arrangement ii

## CsBS2Cl (PBE)

Data for a relaxed structure of CsBS2Cl.

Fermi-level density of states   6.655 states/eV/cell

```
5
Lattice="5.556 0.000 0.000 0.000 5.556 0.000 0.000 0.000 6.372" Properties=species:S:1:pos:R:3 pbc="T T T"
Cs 0.000 0.000 0.000
B 2.778 2.778 3.186
S 0.000 2.778 0.000
S 2.778 0.000 0.000
Cl 0.000 0.000 3.186
```

=====

Relative energies, unit meV/atom: arrangement i 0; arrangement ii 1600

=====

Arrangement i

## CsBSCl2 (PBE)

Data for a relaxed structure of CsBSCl2.

Fermi-level density of states   1.116 states/eV/cell

```
5
Lattice="5.759 0.000 0.000 0.000 5.759 0.000 0.000 0.000 3.598" Properties=species:S:1:pos:R:3 pbc="T T T"
Cs 0.000 0.000 0.000
B 2.880 2.880 1.799
S 2.880 2.880 0.000
Cl 0.000 2.880 1.799
Cl 2.880 0.000 1.799
```

=====

Arrangement ii

## CsBSCl2 (PBE)

Data for a relaxed structure of CsBSCl2.

Fermi-level density of states   7.921 states/eV/cell

```
5
Lattice="6.326 0.000 0.000 0.000 6.326 0.000 0.000 0.000 5.653" Properties=species:S:1:pos:R:3 pbc="T T T"
Cs 0.000 0.000 0.000
B 3.163 3.163 2.826
S 0.000 0.000 2.826
Cl 0.000 3.163 0.000
Cl 3.163 0.000 0.000
```

=====

Relative energies, unit meV/atom: arrangement i 0; arrangement ii 1463

=====

Arrangement i

## CuB2Cl (PBE)

Data for a relaxed structure of CuB2Cl.

Fermi-level density of states   1.531 states/eV/cell

```
4
Lattice="0.000 2.963 2.963 2.963 0.000 2.963 2.963 2.963 0.000" Properties=species:S:1:pos:R:3 pbc="T T T"
Cu 0.000 0.000 0.000
B 1.481 1.481 1.481
B 4.444 4.444 4.444
Cl 2.963 2.963 2.963
```

=====

Arrangement ii

## CuB2Cl (PBE)

Data for a relaxed structure of CuB2Cl.

Fermi-level density of states   0.594 states/eV/cell

```
8
Lattice="-2.520 2.520 4.502 2.520 -2.520 4.502 2.520 2.520 -4.502" Properties=species:S:1:pos:R:3 pbc="T T T"
Cu 0.000 0.000 0.000
Cu 0.000 2.520 2.251
B 3.780 1.037 -1.126
B 1.037 1.260 1.126
B -1.260 1.483 3.377
B 1.483 1.260 5.628
Cl 2.520 0.000 2.251
Cl 0.000 0.000 4.502
```

=====

Relative energies, unit meV/atom: arrangement i 779; arrangement ii 0

=====

Arrangement i

## Cu2BCl (PBE)

Data for a relaxed structure of Cu2BCl.

Fermi-level density of states   0.147 states/eV/cell

```
8
Lattice="-2.804 2.804 3.870 2.804 -2.804 3.870 2.804 2.804 -3.870" Properties=species:S:1:pos:R:3 pbc="T T T"
Cu 4.207 1.047 -0.967
Cu 1.047 1.402 0.967
Cu -1.402 1.757 2.902
Cu 1.757 1.402 4.837
B 0.000 0.000 0.000
B 0.000 2.804 1.935
Cl 2.804 0.000 1.935
Cl 0.000 0.000 3.870
```

=====

Arrangement ii

## Cu2BCl (PBE)

Data for a relaxed structure of Cu2BCl.

Fermi-level density of states   3.568 states/eV/cell

```
4
Lattice="0.000 2.982 2.982 2.982 0.000 2.982 2.982 2.982 0.000" Properties=species:S:1:pos:R:3 pbc="T T T"
Cu 1.491 1.491 1.491
Cu 4.474 4.474 4.474
B 0.000 0.000 0.000
Cl 2.982 2.982 2.982
```

=====

Relative energies, unit meV/atom: arrangement i 0; arrangement ii 662

=====

Arrangement i

## CuBCl2 (PBE)

Data for a relaxed structure of CuBCl2.

Fermi-level density of states   0.556 states/eV/cell

```
4
Lattice="1.557 0.899 9.631 -1.557 0.899 9.631 0.000 -1.798 9.631" Properties=species:S:1:pos:R:3 pbc="T T T"
Cu 0.000 0.000 0.000
B 0.000 0.000 14.447
Cl 0.000 0.000 12.780
Cl 0.000 0.000 16.113
```

=====

Arrangement ii

## CuBCl2 (PBE)

Data for a relaxed structure of CuBCl2.

Fermi-level density of states   0.000 states/eV/cell

```
4
Lattice="0.000 3.199 3.199 3.199 0.000 3.199 3.199 3.199 0.000" Properties=species:S:1:pos:R:3 pbc="T T T"
Cu 0.000 0.000 0.000
B 3.199 3.199 3.199
Cl 1.599 1.599 1.599
Cl 4.798 4.798 4.798
```

=====

Relative energies, unit meV/atom: arrangement i 0; arrangement ii 334

=====

Arrangement i

## CuBCl3 (PBE)

Data for a relaxed structure of CuBCl3.

Fermi-level density of states   0.744 states/eV/cell

```
5
Lattice="4.389 0.000 0.000 0.000 4.389 0.000 0.000 0.000 4.389" Properties=species:S:1:pos:R:3 pbc="T T T"
Cu 0.000 0.000 0.000
B 2.195 2.195 2.195
Cl 0.000 2.195 2.195
Cl 2.195 0.000 2.195
Cl 2.195 2.195 0.000
```

=====

Arrangement ii

## CuBCl3 (PBE)

Data for a relaxed structure of CuBCl3.

Fermi-level density of states   1.354 states/eV/cell

```
5
Lattice="4.713 0.000 0.000 0.000 4.713 0.000 0.000 0.000 4.713" Properties=species:S:1:pos:R:3 pbc="T T T"
Cu 0.000 0.000 0.000
B 2.356 2.356 2.356
Cl 0.000 0.000 2.356
Cl 0.000 2.356 0.000
Cl 2.356 0.000 0.000
```

=====

Relative energies, unit meV/atom: arrangement i 0; arrangement ii 148

=====

Arrangement i

## CuBPCl2 (PBE)

Data for a relaxed structure of CuBPCl2.

Fermi-level density of states   2.813 states/eV/cell

```
5
Lattice="4.828 0.000 0.000 0.000 4.828 0.000 0.000 0.000 4.500" Properties=species:S:1:pos:R:3 pbc="T T T"
Cu 0.000 0.000 0.000
B 2.414 2.414 2.250
P 0.000 0.000 2.250
Cl 0.000 2.414 0.000
Cl 2.414 0.000 0.000
```

=====

Arrangement ii

## CuBPCl2 (PBE)

Data for a relaxed structure of CuBPCl2.

Fermi-level density of states   3.700 states/eV/cell

```
5
Lattice="4.929 0.000 0.000 0.000 4.929 0.000 0.000 0.000 3.668" Properties=species:S:1:pos:R:3 pbc="T T T"
Cu 0.000 0.000 0.000
B 2.464 2.464 1.834
P 2.464 2.464 0.000
Cl 0.000 2.464 1.834
Cl 2.464 0.000 1.834
```

=====

Relative energies, unit meV/atom: arrangement i 333; arrangement ii 0

=====

Arrangement i

## CuBS2Cl (PBE)

Data for a relaxed structure of CuBS2Cl.

Fermi-level density of states   4.887 states/eV/cell

```
5
Lattice="4.484 0.000 0.000 0.000 4.484 0.000 0.000 0.000 4.862" Properties=species:S:1:pos:R:3 pbc="T T T"
Cu 0.000 0.000 0.000
B 2.242 2.242 2.431
S 0.000 2.242 0.000
S 2.242 0.000 0.000
Cl 0.000 0.000 2.431
```

=====

Arrangement ii

## CuBS2Cl (PBE)

Data for a relaxed structure of CuBS2Cl.

Fermi-level density of states   2.905 states/eV/cell

```
5
Lattice="3.825 0.000 0.000 0.000 3.825 0.000 0.000 0.000 7.174" Properties=species:S:1:pos:R:3 pbc="T T T"
Cu 0.000 0.000 0.000
B 1.913 1.913 3.587
S 0.000 1.913 3.587
S 1.913 0.000 3.587
Cl 1.913 1.913 0.000
```

=====

Relative energies, unit meV/atom: arrangement i 568; arrangement ii 0

=====

Arrangement i

## BClF2 (PBE)

Data for a relaxed structure of BClF2.

Fermi-level density of states   2.738 states/eV/cell

```
4
Lattice="1.451 0.838 8.961 -1.451 0.838 8.961 0.000 -1.675 8.961" Properties=species:S:1:pos:R:3 pbc="T T T"
B 0.000 0.000 0.000
Cl 0.000 0.000 13.442
F 0.000 0.000 1.313
F 0.000 0.000 25.571
```

=====

Arrangement ii

## BClF2 (PBE)

Data for a relaxed structure of BClF2.

Fermi-level density of states   0.000 states/eV/cell

```
4
Lattice="-2.583 3.520 2.855 2.583 -3.520 2.855 2.583 3.520 -2.855" Properties=species:S:1:pos:R:3 pbc="T T T"
B 0.000 0.000 0.000
Cl 0.000 0.000 3.974
F 0.000 1.142 0.683
F 0.000 5.898 0.683
```

=====

Arrangement iii

## BClF2 (PBE)

Data for a relaxed structure of BClF2.

Fermi-level density of states   3.434 states/eV/cell

```
8
Lattice="0.000 3.511 3.511 3.511 0.000 3.511 3.511 3.511 0.000" Properties=species:S:1:pos:R:3 pbc="T T T"
B 0.878 0.878 0.878
B 6.145 6.145 6.145
Cl 2.633 2.633 2.633
Cl 4.389 4.389 4.389
F 0.000 0.000 0.000
F 1.756 1.756 0.000
F 1.756 0.000 1.756
F 0.000 1.756 1.756
```

=====

Relative energies, unit meV/atom: arrangement i 1319; arrangement ii 0; arrangement iii 1310

=====

Arrangement i

## BClF3 (PBE)

Data for a relaxed structure of BClF3.

Fermi-level density of states   6.676 states/eV/cell

```
5
Lattice="3.494 2.017 2.482 -3.494 2.017 2.482 0.000 -4.035 2.482" Properties=species:S:1:pos:R:3 pbc="T T T"
B 0.000 0.000 0.000
Cl 0.000 0.000 3.037
F -2.342 -1.352 4.938
F 2.342 -1.352 4.938
F 0.000 2.705 4.938
```

=====

Arrangement ii

## BClF3 (PBE)

Data for a relaxed structure of BClF3.

Fermi-level density of states   2.611 states/eV/cell

```
10
Lattice="2.865 1.654 6.119 -2.865 1.654 6.119 0.000 -3.308 6.119" Properties=species:S:1:pos:R:3 pbc="T T T"
B 0.000 0.000 2.083
B 0.000 0.000 16.275
Cl 0.000 0.000 5.810
Cl 0.000 0.000 12.548
F -1.718 -0.992 10.175
F 0.000 -1.983 8.184
F -1.718 0.992 8.184
F 1.718 -0.992 10.175
F 0.000 1.983 10.175
F 1.718 0.992 8.184
```

=====

Arrangement iii

## BClF3 (PBE)

Data for a relaxed structure of BClF3.

Fermi-level density of states   1.466 states/eV/cell

```
5
Lattice="4.318 0.000 0.000 0.000 4.318 0.000 0.000 0.000 4.318" Properties=species:S:1:pos:R:3 pbc="T T T"
B 0.000 0.000 0.000
Cl 2.159 2.159 2.159
F 0.000 2.159 2.159
F 2.159 0.000 2.159
F 2.159 2.159 0.000
```

=====

Relative energies, unit meV/atom: arrangement i 28; arrangement ii 0; arrangement iii 2526

=====

Arrangement i

## BP2ClF (PBE)

Data for a relaxed structure of BP2ClF.

Fermi-level density of states   4.022 states/eV/cell

```
5
Lattice="4.056 0.000 0.000 0.000 4.056 0.000 0.000 0.000 5.844" Properties=species:S:1:pos:R:3 pbc="T T T"
B 0.000 0.000 0.000
P 0.000 2.028 2.922
P 2.028 0.000 2.922
Cl 2.028 2.028 0.000
F 2.028 2.028 2.922
```

=====

Arrangement ii

## BP2ClF (PBE)

Data for a relaxed structure of BP2ClF.

Fermi-level density of states   2.748 states/eV/cell

```
5
Lattice="4.063 0.000 0.000 0.000 4.063 0.000 0.000 0.000 4.412" Properties=species:S:1:pos:R:3 pbc="T T T"
B 0.000 0.000 0.000
P 0.000 2.031 0.000
P 2.031 0.000 0.000
Cl 0.000 0.000 2.206
F 2.031 2.031 2.206
```

=====

Relative energies, unit meV/atom: arrangement i 700; arrangement ii 0